! InRh2 | Alexandria via LeMat-Bulk | PBE | optimized geometry; values from VASP
! formation energy	0.024	eV per atom
! crystal system	trigonal
! DOS(E_F)	1.66	states/eV/atom
&SYSTEM
  ibrav = 0, nat = 3, ntyp = 2
/
ATOMIC_SPECIES
In 114.82 In.upf
Rh 102.91 Rh.upf
CELL_PARAMETERS angstrom
2.949 0.000 0.000
-1.475 2.554 0.000
0.000 0.000 6.507
ATOMIC_POSITIONS crystal
In 0.000 0.000 0.000
Rh 0.333 0.667 0.336
Rh 0.667 0.333 0.664